# Ba3Be2PdO6

A relaxed Ba3Be2PdO6 crystal (PBE, Alexandria).

Cell lengths 5.757, 5.757, 6.943 Å; angles 90.00, 90.00, 120.00 degrees
Element x y z (fractional)
Ba 0.000 0.000 0.000
Ba 0.333 0.667 0.671
Ba 0.667 0.333 0.329
Be 0.333 0.667 0.269
Be 0.667 0.333 0.731
Pd 0.000 0.000 0.500
O 0.179 0.358 0.286
O 0.179 0.821 0.286
O 0.358 0.179 0.714
O 0.642 0.821 0.286
O 0.821 0.179 0.714
O 0.821 0.642 0.714

Results
V: 16.61 A^3/atom
Electronic total energy: -6.096 eV/atom
Calculated density: 5.27 g/cm3
Formation energy from raw total energies: -2.0827 eV/atom
Space group: P-3m1